K3Ba after structural relaxation. Source: Alexandria, functional PBEsol.

Properties
E_form: 0.13 eV per atom

Geometry as POSCAR:
```
K3Ba
1.0
6.319 0.000 0.000
0.000 6.319 0.000
-3.159 -3.159 6.758
Ba K
1 3
direct
0.000 0.000 0.000
0.750 0.250 0.500
0.500 0.500 0.000
0.250 0.750 0.500
```